# B7C5 (PBE, optimized geometry)
data_B7C5
_cell_length_a 4.1891
_cell_length_b 4.7859
_cell_length_c 5.2266
_cell_angle_alpha 67.31
_cell_angle_beta 81.90
_cell_angle_gamma 65.98
_symmetry_space_group_name_H-M 'P 1'
_symmetry_Int_Tables_number 1
_symmetry_space_group_name_Hall 'P 1'
loop_
_atom_site_label
_atom_site_type_symbol
_atom_site_fract_x
_atom_site_fract_y
_atom_site_fract_z
B1 B 0.0000 0.0000 0.0000
B2 B 0.0163 0.3553 0.3050
B3 B 0.2819 0.6654 0.3343
B4 B 0.3438 0.6524 0.9906
B5 B 0.5801 0.0353 0.5622
B6 B 0.7287 0.6503 0.8248
B7 B 0.9179 0.9932 0.3509
C1 C 0.0651 0.3378 0.8263
C2 C 0.2390 0.3351 0.5494
C3 C 0.3062 0.3109 0.0411
C4 C 0.6302 0.0095 0.1354
C5 C 0.6463 0.6608 0.1783
# crystal system = triclinic
# E above lowest polymorph = 0.280 eV/atom
# V = 88.3 Å³/cell
# calculated formation energy = 445 meV per atom

***

# B7C5 (PBE, optimized geometry)
data_B7C5
_cell_length_a 6.0863
_cell_length_b 6.0863
_cell_length_c 5.5348
_cell_angle_alpha 99.16
_cell_angle_beta 99.16
_cell_angle_gamma 24.88
_symmetry_space_group_name_H-M 'P 1'
_symmetry_Int_Tables_number 1
_symmetry_space_group_name_Hall 'P 1'
loop_
_atom_site_label
_atom_site_type_symbol
_atom_site_fract_x
_atom_site_fract_y
_atom_site_fract_z
B1 B 0.0000 0.0000 0.0000
B2 B 0.0030 0.0030 0.5047
B3 B 0.2421 0.2421 0.3096
B4 B 0.2573 0.2573 0.9382
B5 B 0.3687 0.3687 0.7634
B6 B 0.6156 0.6156 0.0742
B7 B 0.6698 0.6698 0.7990
C1 C 0.3543 0.3543 0.1843
C2 C 0.5999 0.5999 0.5407
C3 C 0.6756 0.6756 0.3487
C4 C 0.9267 0.9267 0.2295
C5 C 0.9289 0.9289 0.7292
# crystal system = monoclinic
# E above lowest polymorph = 0.208 eV/atom
# V = 85.1 Å³/cell
# calculated formation energy = 372 meV per atom

***

# B3C (PBE, optimized geometry)
data_B3C
_cell_length_a 7.9028
_cell_length_b 7.9028
_cell_length_c 4.6313
_cell_angle_alpha 101.73
_cell_angle_beta 101.73
_cell_angle_gamma 20.24
_symmetry_space_group_name_H-M 'P 1'
_symmetry_Int_Tables_number 1
_symmetry_space_group_name_Hall 'P 1'
loop_
_atom_site_label
_atom_site_type_symbol
_atom_site_fract_x
_atom_site_fract_y
_atom_site_fract_z
B1 B 0.0000 0.0000 0.0000
B2 B 0.1059 0.1059 0.9680
B3 B 0.2004 0.2004 0.8618
B4 B 0.3716 0.3716 0.7057
B5 B 0.5006 0.5006 0.3648
B6 B 0.5685 0.5685 0.1396
B7 B 0.6764 0.6764 0.0843
B8 B 0.7339 0.7339 0.4570
B9 B 0.8976 0.8976 0.2161
C1 C 0.2501 0.2501 0.6103
C2 C 0.4060 0.4060 0.3909
C3 C 0.8989 0.8989 0.8746
# crystal system = monoclinic
# E above lowest polymorph = 0.098 eV/atom
# V = 97.9 Å³/cell
# calculated formation energy = 338 meV per atom

***

Question: Among the records above, which one has the highest E above lowest polymorph?
Answer: number 1

***

Question: V of number 2 (B7C5)?
Answer: 85.1 Å³/cell

***

Question: Which of these has the highest calculated formation energy?
Answer: number 1